#a
First-principles (PBE) data for an optimized crystal structure of Ag2NF, as listed in Alexandria.

Cell lengths 5.382, 5.382, 6.076 Å; angles 63.71, 63.71, 90.00 degrees
Fractional coordinates of all 8 atoms:
N 0.500 0.500 0.000
N 0.250 0.750 0.500
Ag 0.570 0.125 0.250
Ag 0.180 0.625 0.250
Ag 0.375 0.430 0.750
Ag 0.875 0.820 0.750
F 0.000 0.000 0.000
F 0.750 0.250 0.500

Results
* magnetization: 0.00 μB/cell
* space group: I-42d, No. 122

#b
First-principles (PBE) data for an optimized crystal structure of Ag2NF, as listed in Alexandria.

Cell lengths 4.202, 4.202, 4.202 Å; angles 60.00, 60.00, 60.00 degrees
Fractional coordinates of all 4 atoms:
N 0.000 0.000 0.000
Ag 0.250 0.250 0.250
Ag 0.750 0.750 0.750
F 0.500 0.500 0.500

Results
* magnetization: 2.00 μB/cell
* space group: Fm-3m, No. 225

Which one is most stable, and which one is least stable? #a is the most stable of them, while #b is the least stable.

#a
First-principles (PBE) data for an optimized crystal structure of AgNF3, as listed in Alexandria.

Cell lengths 4.201, 4.201, 4.201 Å; angles 90.00, 90.00, 90.00 degrees
Fractional coordinates of all 5 atoms:
N 0.500 0.500 0.500
Ag 0.000 0.000 0.000
F 0.000 0.500 0.000
F 0.000 0.000 0.500
F 0.500 0.000 0.000

Results
* magnetization: 2.70 μB/cell
* space group: Pm-3m, No. 221

#b
First-principles (PBE) data for an optimized crystal structure of AgNF3, as listed in Alexandria.

Cell lengths 3.870, 3.870, 3.870 Å; angles 90.00, 90.00, 90.00 degrees
Fractional coordinates of all 5 atoms:
N 0.000 0.000 0.000
Ag 0.500 0.500 0.500
F 0.000 0.500 0.000
F 0.000 0.000 0.500
F 0.500 0.000 0.000

Results
* magnetization: 0.98 μB/cell
* space group: Pm-3m, No. 221

Which one is most stable, and which one is least stable? #b is the most stable of them, while #a is the least stable.

#a
First-principles (PBE) data for an optimized crystal structure of NbAgNF2, as listed in Alexandria.

Cell lengths 4.224, 4.224, 4.054 Å; angles 90.00, 90.00, 90.00 degrees
Fractional coordinates of all 5 atoms:
Nb 0.000 0.000 0.000
N 0.000 0.000 0.500
Ag 0.500 0.500 0.500
F 0.000 0.500 0.000
F 0.500 0.000 0.000

Results
* magnetization: 0.80 μB/cell
* space group: P4/mmm, No. 123

#b
First-principles (PBE) data for an optimized crystal structure of NbAgNF2, as listed in Alexandria.

Cell lengths 4.185, 4.185, 4.210 Å; angles 90.00, 90.00, 90.00 degrees
Fractional coordinates of all 5 atoms:
Nb 0.500 0.500 0.500
N 0.000 0.000 0.500
Ag 0.000 0.000 0.000
F 0.000 0.500 0.000
F 0.500 0.000 0.000

Results
* magnetization: 2.12 μB/cell
* space group: P4/mmm, No. 123

Which one is most stable, and which one is least stable? #a is the most stable of them, while #b is the least stable.

#a
First-principles (PBE) data for an optimized crystal structure of NbAgN2F, as listed in Alexandria.

Cell lengths 4.086, 4.086, 4.158 Å; angles 90.00, 90.00, 90.00 degrees
Fractional coordinates of all 5 atoms:
Nb 0.000 0.000 0.000
N 0.000 0.500 0.000
N 0.500 0.000 0.000
Ag 0.500 0.500 0.500
F 0.000 0.000 0.500

Results
* magnetization: 0.00 μB/cell
* space group: P4/mmm, No. 123

#b
First-principles (PBE) data for an optimized crystal structure of NbAgN2F, as listed in Alexandria.

Cell lengths 4.040, 4.040, 3.975 Å; angles 90.00, 90.00, 90.00 degrees
Fractional coordinates of all 5 atoms:
Nb 0.500 0.500 0.500
N 0.000 0.500 0.000
N 0.500 0.000 0.000
Ag 0.000 0.000 0.000
F 0.000 0.000 0.500

Results
* magnetization: 0.04 μB/cell
* space group: P4/mmm, No. 123

Which one is most stable, and which one is least stable? #a is the most stable of them, while #b is the least stable.